Compound: CaTbNd6Dy2
Source: the Alexandria database
Functional: PBE-GGA
Structure: relaxed

Lattice parameters (Å, degrees): 9.909 9.026 9.026 118.54 94.43 94.43
Element x y z (fractional)
Nd (0.323, 0.973, 0.431)
Nd (0.823, 0.431, 0.973)
Nd (0.877, 0.289, 0.500)
Nd (0.052, 0.114, 0.763)
Nd (0.677, 0.027, 0.569)
Nd (0.123, 0.711, 0.500)
Nd (0.948, 0.886, 0.237)
Nd (0.177, 0.569, 0.027)
Nd (0.377, 0.500, 0.289)
Nd (0.552, 0.763, 0.114)
Nd (0.623, 0.500, 0.711)
Nd (0.448, 0.237, 0.886)
Tb (0.250, 0.974, 0.026)
Tb (0.750, 0.026, 0.974)
Dy (0.043, 0.297, 0.198)
Dy (0.543, 0.198, 0.297)
Dy (0.957, 0.703, 0.802)
Dy (0.457, 0.802, 0.703)
Ca (0.750, 0.598, 0.402)
Ca (0.250, 0.402, 0.598)

* space-group type: No. 15
* energy: -86.24 eV per cell

Compound: DyYPt4
Source: the Alexandria database
Functional: PBE-GGA
Structure: relaxed

Lattice parameters (Å, degrees): 5.439 5.439 5.439 60.00 60.00 60.00
Element x y z (fractional)
Pt (0.625, 0.125, 0.625)
Pt (0.125, 0.625, 0.625)
Pt (0.625, 0.625, 0.125)
Pt (0.625, 0.625, 0.625)
Dy (0.000, 0.000, 0.000)
Y (0.250, 0.250, 0.250)

* space-group type: No. 216
* energy: -41.93 eV per cell

Compound: SmLuHg4
Source: the Alexandria database
Functional: PBE-GGA
Structure: relaxed

Lattice parameters (Å, degrees): 5.955 5.955 5.955 60.00 60.00 60.00
Element x y z (fractional)
Hg (0.625, 0.125, 0.625)
Hg (0.625, 0.625, 0.125)
Hg (0.125, 0.625, 0.625)
Hg (0.625, 0.625, 0.625)
Sm (0.250, 0.250, 0.250)
Lu (0.000, 0.000, 0.000)

* space-group type: No. 216
* energy: -11.50 eV per cell

Compound: CuAsCl2
Source: the Alexandria database
Functional: PBE-GGA
Structure: relaxed

Lattice parameters (Å, degrees): 4.715 4.715 4.715 60.00 60.00 60.00
Element x y z (fractional)
Cu (0.250, 0.250, 0.250)
Cl (0.000, 0.000, 0.000)
Cl (0.750, 0.750, 0.750)
As (0.500, 0.500, 0.500)

* space-group type: No. 216
* formation energy (no corrections): 2.0 eV/f.u.
* energy: -10.40 eV per cell